First-principles (PBE) data for a geometry-optimized Nd4NiS7 structure, as listed in the Alexandria database.

```
Nd4NiS7
1.0
4.903 -8.492 0.000
4.903 8.492 0.000
0.000 0.000 6.863
Nd Ni S
8 2 14
Direct
0.667 0.333 0.836
0.333 0.667 0.336
0.627 0.838 0.791
0.211 0.373 0.791
0.373 0.162 0.291
0.162 0.789 0.791
0.789 0.627 0.291
0.838 0.211 0.291
0.000 0.000 0.958
0.000 0.000 0.458
0.485 0.555 0.549
0.069 0.515 0.549
0.515 0.445 0.049
0.445 0.931 0.549
0.931 0.485 0.049
0.555 0.069 0.049
0.667 0.333 0.450
0.333 0.667 0.950
0.900 0.123 0.680
0.222 0.100 0.680
0.100 0.877 0.180
0.877 0.778 0.680
0.778 0.900 0.180
0.123 0.222 0.180
```

Values from the calculation:
spin magnetization = 0.167 μB per atom
uncorrected formation energy = -156.7 kJ per mole of atoms
calculated total energy = -146.459 eV per cell

First-principles (PBE) data for a geometry-optimized Nd2NiS structure, as listed in the Alexandria database.

```
Nd2NiS
1.0
-2.554 -1.990 2.295
-2.231 -2.890 -1.557
3.554 -6.439 1.803
Nd Ni S
2 1 1
Direct
0.077 0.077 0.769
0.257 0.257 0.230
0.667 0.667 0.999
0.499 0.499 0.502
```

Values from the calculation:
N(E_F) = 2.3 states/eV/cell
spin magnetization = 0.000 μB per atom
excess energy over the best structure of this formula in the dataset = 0.68 eV per formula unit
uncorrected formation energy = -94.8 kJ per mole of atoms
calculated total energy = -23.374 eV per cell

First-principles (PBE) data for a geometry-optimized Nd3Ni5S12 structure, as listed in the Alexandria database.

```
Nd3Ni5S12
1.0
-7.977 -0.117 -9.856
10.866 -5.648 -3.290
-5.220 -6.224 9.737
Nd Ni S
12 20 48
Direct
0.750 0.375 0.125
0.875 0.750 0.125
0.375 0.750 0.625
0.250 0.125 0.375
0.875 0.125 0.250
0.375 0.625 0.250
0.625 0.375 0.750
0.125 0.875 0.750
0.750 0.875 0.625
0.625 0.250 0.375
0.125 0.250 0.875
0.250 0.625 0.875
0.125 0.375 0.250
0.000 0.500 0.000
0.000 0.000 0.000
0.375 0.250 0.125
0.500 0.000 0.500
0.500 0.500 0.000
0.125 0.750 0.375
0.750 0.125 0.875
0.750 0.625 0.375
0.375 0.125 0.750
0.625 0.875 0.250
0.500 0.500 0.500
0.500 0.000 0.000
0.000 0.000 0.500
0.250 0.375 0.625
0.250 0.875 0.125
0.000 0.500 0.500
0.875 0.250 0.625
0.625 0.750 0.875
0.875 0.625 0.750
0.698 0.113 0.020
0.322 0.520 0.407
0.980 0.387 0.302
0.520 0.198 0.113
0.585 0.698 0.678
0.980 0.593 0.178
0.322 0.802 0.415
0.093 0.915 0.113
0.593 0.980 0.678
0.698 0.585 0.178
0.802 0.480 0.387
0.822 0.907 0.020
0.113 0.698 0.520
0.387 0.407 0.085
0.085 0.907 0.387
0.415 0.113 0.593
0.085 0.178 0.198
0.480 0.678 0.093
0.822 0.915 0.302
0.113 0.415 0.093
0.387 0.980 0.802
0.593 0.613 0.415
0.907 0.822 0.520
0.802 0.322 0.915
0.407 0.387 0.585
0.093 0.178 0.480
0.198 0.678 0.085
0.178 0.085 0.698
0.613 0.020 0.198
0.887 0.585 0.907
0.520 0.322 0.907
0.585 0.887 0.407
0.915 0.822 0.802
0.915 0.093 0.613
0.887 0.302 0.480
0.178 0.093 0.980
0.613 0.593 0.915
0.407 0.020 0.322
0.302 0.415 0.822
0.198 0.520 0.613
0.907 0.085 0.887
0.678 0.198 0.585
0.480 0.802 0.887
0.020 0.407 0.822
0.415 0.302 0.322
0.020 0.613 0.698
0.678 0.480 0.593
0.302 0.887 0.980
```

Values from the calculation:
N(E_F) = 71.1 states/eV/cell
spin magnetization = 0.000 μB per atom
uncorrected formation energy = -79.2 kJ per mole of atoms
calculated total energy = -436.664 eV per cell

First-principles (PBE) data for a geometry-optimized Nd2NiS structure, as listed in the Alexandria database.

```
Nd2NiS
1.0
-2.291 -2.882 -1.515
-0.700 -3.302 2.110
-6.721 0.982 3.064
Ni S Nd
1 1 2
Direct
0.000 0.000 0.000
0.500 0.500 0.500
0.253 0.253 0.240
0.747 0.747 0.760
```

Values from the calculation:
N(E_F) = 2.6 states/eV/cell
spin magnetization = 0.000 μB per atom
excess energy over the best structure of this formula in the dataset = 0.45 eV per formula unit
uncorrected formation energy = -100.4 kJ per mole of atoms
calculated total energy = -23.606 eV per cell